No. 1
{"formula": "GeTeHC2", "functional": "meta-GGA SCAN", "state": "PBEsol geometry", "total_magnetization_mub_per_fu": 0.0, "space_group": "P4/mmm, No. 123", "crystal_system": "tetragonal", "total_energy_ev_per_fu": -68.24, "cell": [[4.193, 0.000, 0.000], [0.000, 4.193, 0.000], [0.000, 0.000, 3.331]], "species": ["Ge", "Te", "H", "C", "C"], "frac_coords": [[0.000, 0.000, 0.000], [0.500, 0.500, 0.000], [0.000, 0.000, 0.500], [0.000, 0.500, 0.500], [0.500, 0.000, 0.500]]}

***

No. 2
{"formula": "HfGe2CN", "functional": "meta-GGA SCAN", "state": "PBEsol geometry", "total_magnetization_mub_per_fu": 0.0, "space_group": "P4/mmm, No. 123", "crystal_system": "tetragonal", "total_energy_ev_per_fu": -114.72, "cell": [[4.082, 0.000, 0.000], [0.000, 4.082, 0.000], [0.000, 0.000, 4.331]], "species": ["Hf", "Ge", "Ge", "C", "N"], "frac_coords": [[0.000, 0.000, 0.000], [0.000, 0.500, 0.500], [0.500, 0.000, 0.500], [0.500, 0.500, 0.000], [0.000, 0.000, 0.500]]}

***

No. 3
{"formula": "HgGeC2", "functional": "meta-GGA SCAN", "state": "PBEsol geometry", "total_magnetization_mub_per_fu": 0.0, "space_group": "Fm-3m, No. 225", "crystal_system": "cubic", "formation_enthalpy_0k_ev_per_atom": 2.64, "cell": [[0.000, 2.954, 2.954], [2.954, 0.000, 2.954], [2.954, 2.954, 0.000]], "species": ["Hg", "Ge", "C", "C"], "frac_coords": [[0.000, 0.000, 0.000], [0.500, 0.500, 0.500], [0.250, 0.250, 0.250], [0.750, 0.750, 0.750]]}

***

No. 4
{"formula": "HgGePt2C", "functional": "meta-GGA SCAN", "state": "PBEsol geometry", "total_magnetization_mub_per_fu": 0.0, "space_group": "P4/mmm, No. 123", "crystal_system": "tetragonal", "formation_enthalpy_0k_ev_per_atom": 1.88, "cell": [[5.067, 0.000, 0.000], [0.000, 5.067, 0.000], [0.000, 0.000, 3.812]], "species": ["Hg", "Ge", "Pt", "Pt", "C"], "frac_coords": [[0.000, 0.000, 0.000], [0.500, 0.500, 0.500], [0.000, 0.500, 0.000], [0.500, 0.000, 0.000], [0.000, 0.000, 0.500]]}